No. 1
# Ti3VGa

An optimized crystal structure of Ti3VGa (PBE-GGA, Alexandria).

## Properties
formation energy = 0.04 eV/atom
energy above the most stable polymorph in this dataset = 0.0000 eV/atom
total DFT energy (no corrections) = -7.129 eV/atom
space-group type = Cmce

Cell: 7.0036 7.0036 6.7740 Å, 90.00 90.00 85.97°
Fractional coordinates of all 20 atoms:
Ti: 0.0376 0.6654 0.1097
Ti: 0.0841 0.9159 0.8077
Ti: 0.1654 0.5376 0.6097
Ti: 0.3346 0.9624 0.1097
Ti: 0.4159 0.5841 0.3077
Ti: 0.4624 0.8346 0.6097
Ti: 0.5376 0.1654 0.3903
Ti: 0.5841 0.4159 0.6923
Ti: 0.6654 0.0376 0.8903
Ti: 0.8346 0.4624 0.3903
Ti: 0.9159 0.0841 0.1923
Ti: 0.9624 0.3346 0.8903
V: 0.1268 0.8732 0.4243
V: 0.3732 0.6268 0.9243
V: 0.6268 0.3732 0.0757
V: 0.8732 0.1268 0.5757
Ga: 0.1942 0.3058 0.2500
Ga: 0.3058 0.1942 0.7500
Ga: 0.6942 0.8058 0.2500
Ga: 0.8058 0.6942 0.7500

***

No. 2
# Ti6VGa5

An optimized crystal structure of Ti6VGa5 (PBE-GGA, Alexandria).

## Properties
formation energy = -0.23 eV/atom
energy above the most stable polymorph in this dataset = 0.1716 eV/atom
total DFT energy (no corrections) = -6.194 eV/atom
space-group type = C2/m

Cell: 6.2452 6.2452 5.0778 Å, 97.16 97.16 87.47°
Fractional coordinates of all 12 atoms:
Ti: 0.0768 0.4201 0.2493
Ti: 0.2503 0.2503 0.7621
Ti: 0.4201 0.0768 0.2493
Ti: 0.5799 0.9232 0.7507
Ti: 0.7497 0.7497 0.2379
Ti: 0.9232 0.5799 0.7507
V: 0.5000 0.5000 0.5000
Ga: 0.0000 0.0000 0.0000
Ga: 0.1762 0.8238 0.5000
Ga: 0.3432 0.6568 0.0000
Ga: 0.6568 0.3432 0.0000
Ga: 0.8238 0.1762 0.5000

***

No. 3
# Ti3VGa6

An optimized crystal structure of Ti3VGa6 (PBE-GGA, Alexandria).

## Properties
formation energy = -0.06 eV/atom
total DFT energy (no corrections) = -5.153 eV/atom
space-group type = Cmc2_1

Cell: 8.3275 8.3275 4.8550 Å, 90.00 90.00 93.09°
Fractional coordinates of all 20 atoms:
Ti: 0.1431 0.8569 0.5000
Ti: 0.2371 0.3658 0.8166
Ti: 0.3658 0.2371 0.3166
Ti: 0.6342 0.7629 0.8166
Ti: 0.7629 0.6342 0.3166
Ti: 0.8569 0.1431 0.0000
V: 0.3460 0.6540 0.5355
V: 0.6540 0.3460 0.0355
Ga: 0.0621 0.1727 0.4977
Ga: 0.0856 0.5012 0.3414
Ga: 0.1727 0.0621 0.9977
Ga: 0.2508 0.7492 0.0043
Ga: 0.4539 0.5461 0.0763
Ga: 0.4988 0.9144 0.3414
Ga: 0.5012 0.0856 0.8414
Ga: 0.5461 0.4539 0.5763
Ga: 0.7492 0.2508 0.5043
Ga: 0.8273 0.9379 0.4977
Ga: 0.9144 0.4988 0.8414
Ga: 0.9379 0.8273 0.9977

***

No. 4
# Ti4VGa2

An optimized crystal structure of Ti4VGa2 (PBE-GGA, Alexandria).

## Properties
formation energy = -0.17 eV/atom
energy above the most stable polymorph in this dataset = 0.0000 eV/atom
total DFT energy (no corrections) = -6.852 eV/atom
space-group type = Cmcm

Cell: 7.0098 7.0098 5.0793 Å, 90.00 90.00 114.86°
Fractional coordinates of all 14 atoms:
Ti: 0.0446 0.5940 0.7500
Ti: 0.2023 0.2023 0.0000
Ti: 0.2023 0.2023 0.5000
Ti: 0.4060 0.9554 0.7500
Ti: 0.5940 0.0446 0.2500
Ti: 0.7977 0.7977 0.0000
Ti: 0.7977 0.7977 0.5000
Ti: 0.9554 0.4060 0.2500
V: 0.3773 0.6227 0.2500
V: 0.6227 0.3773 0.7500
Ga: 0.1642 0.8358 0.2500
Ga: 0.4109 0.5891 0.7500
Ga: 0.5891 0.4109 0.2500
Ga: 0.8358 0.1642 0.7500

***

No. 5
# TiV2Ga2

An optimized crystal structure of TiV2Ga2 (PBE-GGA, Alexandria).

## Properties
formation energy = -0.21 eV/atom
energy above the most stable polymorph in this dataset = 0.0000 eV/atom
total DFT energy (no corrections) = -6.652 eV/atom
space-group type = P4/mbm

Cell: 6.7749 6.7749 3.2559 Å, 90.00 90.00 90.00°
Fractional coordinates of all 10 atoms:
Ti: 0.0000 0.0000 0.0000
Ti: 0.5000 0.5000 0.0000
V: 0.1723 0.3277 0.5000
V: 0.3277 0.8277 0.5000
V: 0.6723 0.1723 0.5000
V: 0.8277 0.6723 0.5000
Ga: 0.1289 0.6289 0.0000
Ga: 0.3711 0.1289 0.0000
Ga: 0.6289 0.8711 0.0000
Ga: 0.8711 0.3711 0.0000

***

No. 6
# Ti6VGa8

An optimized crystal structure of Ti6VGa8 (PBE-GGA, Alexandria).

## Properties
formation energy = -0.25 eV/atom
total DFT energy (no corrections) = -5.634 eV/atom
space-group type = R-3

Cell: 6.7368 6.7368 6.7368 Å, 68.21 68.21 68.21°
Fractional coordinates of all 15 atoms:
Ti: 0.1541 0.4001 0.6472
Ti: 0.3528 0.8459 0.5999
Ti: 0.4001 0.6472 0.1541
Ti: 0.5999 0.3528 0.8459
Ti: 0.6472 0.1541 0.4001
Ti: 0.8459 0.5999 0.3528
V: 0.0000 0.0000 0.0000
Ga: 0.0539 0.8534 0.4008
Ga: 0.1466 0.5992 0.9461
Ga: 0.2806 0.2806 0.2806
Ga: 0.4008 0.0539 0.8534
Ga: 0.5992 0.9461 0.1466
Ga: 0.7194 0.7194 0.7194
Ga: 0.8534 0.4008 0.0539
Ga: 0.9461 0.1466 0.5992

***

No. 7
# Ti3VGa5

An optimized crystal structure of Ti3VGa5 (PBE-GGA, Alexandria).

## Properties
formation energy = -0.31 eV/atom
total DFT energy (no corrections) = -5.635 eV/atom
space-group type = P6_3/mcm

Cell: 7.8516 7.8516 5.2942 Å, 90.00 90.00 120.00°
Fractional coordinates of all 18 atoms:
Ti: 0.0000 0.3755 0.2500
Ti: 0.0000 0.6245 0.7500
Ti: 0.3755 0.0000 0.2500
Ti: 0.3755 0.3755 0.7500
Ti: 0.6245 0.0000 0.7500
Ti: 0.6245 0.6245 0.2500
V: 0.0000 0.0000 0.0000
V: 0.0000 0.0000 0.5000
Ga: 0.0000 0.2835 0.7500
Ga: 0.0000 0.7165 0.2500
Ga: 0.2835 0.0000 0.7500
Ga: 0.2835 0.2835 0.2500
Ga: 0.3333 0.6667 0.0000
Ga: 0.3333 0.6667 0.5000
Ga: 0.6667 0.3333 0.0000
Ga: 0.6667 0.3333 0.5000
Ga: 0.7165 0.0000 0.2500
Ga: 0.7165 0.7165 0.7500

***

No. 8
# Ti2VGa2

An optimized crystal structure of Ti2VGa2 (PBE-GGA, Alexandria).

## Properties
formation energy = -0.25 eV/atom
energy above the most stable polymorph in this dataset = 0.0502 eV/atom
total DFT energy (no corrections) = -6.439 eV/atom
space-group type = Immm

Cell: 5.1368 5.1368 5.1368 Å, 140.19 107.85 85.71°
Fractional coordinates of all 5 atoms:
Ti: 0.2298 0.2298 0.0000
Ti: 0.7702 0.7702 0.0000
V: 0.5000 0.0000 0.5000
Ga: 0.2013 0.5000 0.7013
Ga: 0.7987 0.5000 0.2987

***

Which of these has the lowest formation energy?
Ti3VGa5

***

Number 8 is which compound?
Ti2VGa2

***

Number 6 is which compound?
Ti6VGa8

***

What did the third record say?
# Ti3VGa6

An optimized crystal structure of Ti3VGa6 (PBE-GGA, Alexandria).

## Properties
formation energy = -0.06 eV/atom
total DFT energy (no corrections) = -5.153 eV/atom
space-group type = Cmc2_1

Cell: 8.3275 8.3275 4.8550 Å, 90.00 90.00 93.09°
Fractional coordinates of all 20 atoms:
Ti: 0.1431 0.8569 0.5000
Ti: 0.2371 0.3658 0.8166
Ti: 0.3658 0.2371 0.3166
Ti: 0.6342 0.7629 0.8166
Ti: 0.7629 0.6342 0.3166
Ti: 0.8569 0.1431 0.0000
V: 0.3460 0.6540 0.5355
V: 0.6540 0.3460 0.0355
Ga: 0.0621 0.1727 0.4977
Ga: 0.0856 0.5012 0.3414
Ga: 0.1727 0.0621 0.9977
Ga: 0.2508 0.7492 0.0043
Ga: 0.4539 0.5461 0.0763
Ga: 0.4988 0.9144 0.3414
Ga: 0.5012 0.0856 0.8414
Ga: 0.5461 0.4539 0.5763
Ga: 0.7492 0.2508 0.5043
Ga: 0.8273 0.9379 0.4977
Ga: 0.9144 0.4988 0.8414
Ga: 0.9379 0.8273 0.9977